Compound: Hg2Au2Br
Source: Alexandria via LeMat-Bulk
Functional: PBE-GGA
Structure: optimized geometry

Values from the calculation:
- Distance to the lowest polymorph of the same formula: 45 meV/atom
- Electronic total energy: -1.72 eV per atom
- M_tot: 0.0 μB per formula unit
- SG: P4/mbm

Unit cell a=9.008 b=9.008 c=2.882 alpha=90.00 beta=90.00 gamma=90.00
Element x y z (fractional)
Hg: 0.192 0.308 0.000
Hg: 0.308 0.808 0.000
Hg: 0.692 0.192 0.000
Hg: 0.808 0.692 0.000
Au: 0.109 0.609 0.500
Au: 0.391 0.109 0.500
Au: 0.609 0.891 0.500
Au: 0.891 0.391 0.500
Br: 0.000 0.000 0.000
Br: 0.500 0.500 0.000